{"formula": "LiMn3P4O16", "functional": "GGA+U", "state": "optimized geometry", "spacegroup": "No. 6", "dos_at_fermi_per_ev_cell": 7.2, "dft_energy_ev_per_atom": -7.09, "cell": [[4.823, 0.000, 0.000], [0.000, 5.906, 0.000], [-0.229, 0.000, 9.853]], "species": ["Li", "Mn", "Mn", "Mn", "P", "P", "P", "P", "O", "O", "O", "O", "O", "O", "O", "O", "O", "O", "O", "O", "O", "O", "O", "O"], "frac_coords": [[0.000, 0.000, 0.000], [0.379, 0.000, 0.485], [0.488, 0.500, 0.048], [0.865, 0.500, 0.553], [0.050, 0.500, 0.873], [0.334, 0.500, 0.362], [0.534, 0.000, 0.180], [0.852, 0.000, 0.675], [0.088, 0.500, 0.717], [0.164, 0.000, 0.643], [0.191, 0.297, 0.434], [0.191, 0.703, 0.434], [0.216, 0.302, 0.943], [0.216, 0.698, 0.943], [0.220, 0.000, 0.166], [0.268, 0.500, 0.209], [0.622, 0.000, 0.334], [0.651, 0.500, 0.386], [0.670, 0.212, 0.111], [0.670, 0.788, 0.111], [0.695, 0.202, 0.599], [0.695, 0.798, 0.599], [0.737, 0.500, 0.898], [0.812, 0.000, 0.825]]}